The following is a PBE calculation of In2AgIr after structural relaxation, from Alexandria via LeMat-Bulk.

The space group is R-3m (No. 166, hexagonal axes) and the conventional cell measures 3.1391, 3.1391 and 27.2387 Å, with angles of 90.00, 90.00 and 120.00 degrees. The distinct sites, in fractional coordinates, are In at (0.0000, 0.0000, 0.2444), Ag at (0.0000, 0.0000, 0.0000) and Ir at (0.0000, 0.0000, 0.5000).

As for the total magnetization: 0.000 μB per atom. The crystal system is trigonal. The formation enthalpy at 0 K comes out at 0.1142 eV per atom.

The following is a PBE calculation of Ca3La6Pr2 after structural relaxation, from Alexandria via LeMat-Bulk.

The space group is C2/m (No. 12) and the conventional cell measures 13.517, 3.862 and 16.813 Å, with angles of 90.00, 102.94 and 90.00 degrees. The distinct sites, in fractional coordinates, are Ca at (0.000, 0.000, 0.000), Ca at (0.208, 0.500, 0.908), La at (0.017, 0.000, 0.768), La at (0.093, 0.500, 0.611), La at (0.200, 0.500, 0.248) and Pr at (0.151, 0.000, 0.433).

As for the total magnetization: 0.000 μB per atom. The crystal system is monoclinic. The formation enthalpy at 0 K comes out at 0.0891 eV per atom.

The following is a PBE calculation of NdInSe3 after structural relaxation, from Alexandria via LeMat-Bulk.

The space group is Cmcm (No. 63) and the conventional cell measures 4.093, 14.870 and 9.553 Å, with angles of 90.00, 90.00 and 90.00 degrees. The distinct sites, in fractional coordinates, are Nd at (0.000, 0.233, 0.250), In at (0.000, 0.040, 0.750), Se at (0.000, 0.171, 0.569) and Se at (0.000, 0.427, 0.750).

Its uncorrected formation energy is -1.108 eV/atom. The value obtained for the relative energy among the computed polymorphs is 0.0532 eV per atom. As for the total magnetization: 0.000 μB per atom. The crystal system is orthorhombic.

The following is a PBE calculation of Nd3Er2Tm6Sc after structural relaxation, from Alexandria via LeMat-Bulk.

The space group is C2/m (No. 12) and the conventional cell measures 6.112, 10.580 and 11.628 Å, with angles of 90.00, 100.08 and 90.00 degrees. The distinct sites, in fractional coordinates, are Nd at (0.000, 0.000, 0.000), Nd at (0.000, 0.333, 0.000), Er at (0.000, 0.166, 0.500), Tm at (0.246, 0.334, 0.743), Tm at (0.249, 0.000, 0.743) and Sc at (0.000, 0.500, 0.500).

As for the total magnetization: 0.000 μB per atom. The crystal system is monoclinic. The formation enthalpy at 0 K comes out at 0.0345 eV per atom.